# 1
Computed, not measured: a relaxed structure of Co2MoPb at the PBE-GGA level of DFT.

Output
energy of formation = 503 meV per atom
ρ = 10.94 g/cm3
energy = -6.68 eV/atom

```
Co2MoPb
1.0
-2.744 2.719 -2.020
-4.272 0.858 0.108
-0.232 3.872 3.220
Co Mo Pb
2 1 1
Direct
0.020 0.020 0.927 Co
0.480 0.480 0.573 Co
0.750 0.750 0.750 Mo
0.250 0.250 0.250 Pb
```

# 2
Computed, not measured: a relaxed structure of Co2MoPb at the PBE-GGA level of DFT.

Output
energy of formation = 487 meV per atom
ρ = 11.16 g/cm3
energy = -6.70 eV/atom

```
Co2MoPb
1.0
4.568 -0.017 0.009
3.501 2.934 0.009
0.941 0.340 4.657
Co Mo Pb
2 1 1
Direct
0.010 0.010 0.964 Co
0.753 0.753 0.722 Co
0.483 0.483 0.595 Mo
0.254 0.254 0.219 Pb
```

# 3
Computed, not measured: a relaxed structure of CoMo2Pb at the PBE-GGA level of DFT.

Output
energy of formation = 470 meV per atom
ρ = 11.79 g/cm3
energy = -7.65 eV/atom

```
CoMo2Pb
1.0
-2.761 2.805 -3.376
-0.133 0.701 -5.136
-2.770 -2.082 -1.646
Co Mo Pb
1 2 1
Direct
0.750 0.750 0.750 Co
0.000 0.000 0.000 Mo
0.500 0.500 0.500 Mo
0.250 0.250 0.250 Pb
```

# 4
Computed, not measured: a relaxed structure of Co2MoPb at the PBE-GGA level of DFT.

Output
energy of formation = 551 meV per atom
ρ = 10.54 g/cm3
energy = -6.64 eV/atom

```
Co2MoPb
1.0
8.046 0.005 0.003
7.437 3.070 0.003
7.437 1.477 2.691
Co Mo Pb
2 1 1
Direct
0.985 0.985 0.985 Co
0.515 0.515 0.515 Co
0.250 0.250 0.250 Mo
0.750 0.750 0.750 Pb
```